Here is an optimized crystal structure of LiFeCl2F from Alexandria via LeMat-Bulk. Energies are from PBE+U.

Properties
Energy in eV per cell: -21.204
Symmetry: P4/mmm (123)
DOS at the Fermi energy in states/eV/f.u.: 0.00
Mass density in g cm⁻³: 2.55
V in Å³ per cell: 99.2

```
LiFeCl2F
1.0
5.0212 0.0000 0.0000
0.0000 3.9365 0.0000
0.0000 0.0000 5.0212
F Li Fe Cl
1 1 1 2
Direct
0.0000 0.5000 0.0000
0.5000 0.5000 0.5000
0.0000 0.0000 0.0000
0.0000 0.0000 0.5000
0.5000 0.0000 0.0000
```